No. 1
Computed, not measured: a relaxed structure of CaNdZnCo at the PBE level of DFT.

abc: 5.019 5.019 5.019
angles: 60.00 60.00 60.00
Sites, in units of the cell vectors:
Ca 0.500 0.500 0.500
Nd 0.000 0.000 0.000
Co 0.250 0.250 0.250
Zn 0.750 0.750 0.750

Formation enthalpy at 0 K = -0.1 kJ per mole of atoms
Energy = -3.7880 eV per atom
Space group = No. 216
Total moment = 0.8 Bohr magnetons per cell

---

No. 2
Computed, not measured: a relaxed structure of CaCoNi2 at the PBE level of DFT.

abc: 4.052 4.052 5.424
angles: 68.20 68.20 59.98
Sites, in units of the cell vectors:
Ni 0.689 0.689 0.933
Ni 0.995 0.995 0.015
Co 0.315 0.315 0.056
Ca 0.501 0.501 0.497

Formation enthalpy at 0 K = 1.0 kJ per mole of atoms
Energy = -5.1575 eV per atom
Polymorph energy (0 for the lowest one) = 28 meV/atom
Space group = No. 8
Total moment = 2.3 Bohr magnetons per cell

---

No. 3
Computed, not measured: a relaxed structure of CaCoNi2 at the PBE level of DFT.

abc: 3.301 2.786 7.066
angles: 66.78 90.00 90.00
Sites, in units of the cell vectors:
Co 0.500 0.750 0.750
Ni 0.000 0.435 0.565
Ni 0.000 0.065 0.935
Ca 0.500 0.250 0.250

Formation enthalpy at 0 K = 18.3 kJ per mole of atoms
Energy = -4.9773 eV per atom
Polymorph energy (0 for the lowest one) = 208 meV/atom
Space group = No. 47
Total moment = 2.4 Bohr magnetons per cell

---

No. 4
Computed, not measured: a relaxed structure of CaCoNi2 at the PBE level of DFT.

abc: 4.613 4.613 2.749
angles: 90.00 90.00 106.41
Sites, in units of the cell vectors:
Ni 0.500 0.500 0.000
Ni 0.000 0.000 0.000
Co 0.000 0.500 0.500
Ca 0.500 0.000 0.500

Formation enthalpy at 0 K = 32.6 kJ per mole of atoms
Energy = -4.8299 eV per atom
Polymorph energy (0 for the lowest one) = 356 meV/atom
Space group = No. 65
Total moment = 2.0 Bohr magnetons per cell

---

No. 5
Computed, not measured: a relaxed structure of CaCo4Ni at the PBE level of DFT.

abc: 4.866 4.866 4.866
angles: 60.00 60.00 60.00
Sites, in units of the cell vectors:
Ni 0.750 0.750 0.750
Co 0.873 0.376 0.376
Co 0.376 0.376 0.873
Co 0.376 0.873 0.376
Co 0.376 0.376 0.376
Ca 0.000 0.000 0.000

Formation enthalpy at 0 K = 19.3 kJ per mole of atoms
Energy = -5.8341 eV per atom
Space group = No. 216
Total moment = 6.9 Bohr magnetons per cell

---

No. 6
Computed, not measured: a relaxed structure of CaCoNi4 at the PBE level of DFT.

abc: 4.858 4.858 4.858
angles: 60.00 60.00 60.00
Sites, in units of the cell vectors:
Ni 0.374 0.374 0.877
Ni 0.374 0.374 0.374
Ni 0.374 0.877 0.374
Ni 0.877 0.374 0.374
Co 0.000 0.000 0.000
Ca 0.750 0.750 0.750

Formation enthalpy at 0 K = 9.6 kJ per mole of atoms
Energy = -5.2723 eV per atom
Space group = No. 216
Total moment = 3.8 Bohr magnetons per cell

---

No. 7
Computed, not measured: a relaxed structure of CaCo2Ni2 at the PBE level of DFT.

abc: 7.244 7.244 2.591
angles: 90.00 90.00 90.00
Sites, in units of the cell vectors:
Ni 0.878 0.622 0.000
Ni 0.122 0.378 0.000
Ni 0.378 0.878 0.000
Ni 0.622 0.122 0.000
Co 0.671 0.829 0.500
Co 0.171 0.671 0.500
Co 0.829 0.329 0.500
Co 0.329 0.171 0.500
Ca 0.500 0.500 0.000
Ca 0.000 0.000 0.000

Formation enthalpy at 0 K = 18.3 kJ per mole of atoms
Energy = -5.3656 eV per atom
Polymorph energy (0 for the lowest one) = 59 meV/atom
Space group = No. 127
Total moment = 8.2 Bohr magnetons per cell

---

No. 8
Computed, not measured: a relaxed structure of CaCoNi2 at the PBE level of DFT.

abc: 2.719 4.716 5.394
angles: 54.14 90.00 90.00
Sites, in units of the cell vectors:
Ni 0.000 0.000 0.000
Ni 0.500 0.500 0.000
Ca 0.500 0.500 0.500
Co 0.000 0.000 0.500

Formation enthalpy at 0 K = 38.0 kJ per mole of atoms
Energy = -4.7741 eV per atom
Polymorph energy (0 for the lowest one) = 412 meV/atom
Space group = No. 10
Total moment = 1.7 Bohr magnetons per cell

---

Repeat the seventh record exactly.
Computed, not measured: a relaxed structure of CaCo2Ni2 at the PBE level of DFT.

abc: 7.244 7.244 2.591
angles: 90.00 90.00 90.00
Sites, in units of the cell vectors:
Ni 0.878 0.622 0.000
Ni 0.122 0.378 0.000
Ni 0.378 0.878 0.000
Ni 0.622 0.122 0.000
Co 0.671 0.829 0.500
Co 0.171 0.671 0.500
Co 0.829 0.329 0.500
Co 0.329 0.171 0.500
Ca 0.500 0.500 0.000
Ca 0.000 0.000 0.000

Formation enthalpy at 0 K = 18.3 kJ per mole of atoms
Energy = -5.3656 eV per atom
Polymorph energy (0 for the lowest one) = 59 meV/atom
Space group = No. 127
Total moment = 8.2 Bohr magnetons per cell

---

Copy entry 2 word for word.
Computed, not measured: a relaxed structure of CaCoNi2 at the PBE level of DFT.

abc: 4.052 4.052 5.424
angles: 68.20 68.20 59.98
Sites, in units of the cell vectors:
Ni 0.689 0.689 0.933
Ni 0.995 0.995 0.015
Co 0.315 0.315 0.056
Ca 0.501 0.501 0.497

Formation enthalpy at 0 K = 1.0 kJ per mole of atoms
Energy = -5.1575 eV per atom
Polymorph energy (0 for the lowest one) = 28 meV/atom
Space group = No. 8
Total moment = 2.3 Bohr magnetons per cell